(1)
Density functional theory data (GGA-PBEsol) for a relaxed structure of YHg2Pb.

```
4
Lattice="-2.059 2.336 5.151 2.059 -2.336 5.151 2.059 2.336 -5.151" Properties=species:S:1:pos:R:3 pbc="T T T"
Y 0.000 0.000 0.000
Hg 2.059 0.000 2.434
Hg 0.000 0.000 4.746
Pb 0.000 2.336 2.416
```

Results
- energy of formation (kcal/mol of atoms) = -7.70
- volume (A^3/atom) = 24.78
- symmetry = Imm2
- total moment (μB/cell) = 0.0



(2)
Density functional theory data (GGA-PBEsol) for a relaxed structure of YHg2Pb.

```
4
Lattice="-2.240 2.240 4.874 2.240 -2.240 4.874 2.240 2.240 -4.874" Properties=species:S:1:pos:R:3 pbc="T T T"
Y 0.000 0.000 0.000
Hg 0.000 0.000 4.874
Hg 0.000 2.240 2.437
Pb 2.240 0.000 2.437
```

Results
- energy of formation (kcal/mol of atoms) = -7.80
- volume (A^3/atom) = 24.46
- symmetry = I-4m2
- total moment (μB/cell) = 0.0



(3)
Density functional theory data (GGA-PBEsol) for a relaxed structure of YHg2Pb.

```
4
Lattice="4.492 0.000 0.000 0.000 4.492 0.000 0.000 0.000 4.728" Properties=species:S:1:pos:R:3 pbc="T T T"
Y 0.000 0.000 0.000
Hg 0.000 2.246 2.364
Hg 2.246 0.000 2.364
Pb 2.246 2.246 0.000
```

Results
- energy of formation (kcal/mol of atoms) = -10.26
- volume (A^3/atom) = 23.85
- symmetry = P4/mmm
- total moment (μB/cell) = 0.0



(4)
Density functional theory data (GGA-PBEsol) for a relaxed structure of YHg2Pb.

```
4
Lattice="5.183 -1.861 0.000 5.183 1.861 0.000 -1.418 0.000 5.163" Properties=species:S:1:pos:R:3 pbc="T T T"
Y 0.000 0.000 0.000
Hg 1.537 0.000 3.912
Hg 7.411 0.000 1.251
Pb 4.474 0.000 2.581
```

Results
- energy of formation (kcal/mol of atoms) = -8.13
- volume (A^3/atom) = 24.91
- symmetry = C2/m
- total moment (μB/cell) = 0.0